[1]
{
  "formula": "TbTh2Tl",
  "functional": "PBE",
  "state": "relaxed",
  "rho_g_cm3": 11.26,
  "polymorph_energy_mev_per_atom": 210,
  "crystal_system": "cubic",
  "e_form_mev_per_atom": 108.3,
  "lattice": [[7.8726, 0.0000, 0.0000], [0.0000, 7.8726, 0.0000], [0.0000, 0.0000, 7.8726]],
  "species": ["Tb", "Tb", "Tb", "Tb", "Th", "Th", "Th", "Th", "Th", "Th", "Th", "Th", "Tl", "Tl", "Tl", "Tl"],
  "frac_coords": [[0.0000, 0.0000, 0.0000], [0.0000, 0.5000, 0.5000], [0.5000, 0.0000, 0.5000], [0.5000, 0.5000, 0.0000], [0.2500, 0.2500, 0.2500], [0.2500, 0.2500, 0.7500], [0.2500, 0.7500, 0.2500], [0.2500, 0.7500, 0.7500], [0.7500, 0.2500, 0.2500], [0.7500, 0.2500, 0.7500], [0.7500, 0.7500, 0.2500], [0.7500, 0.7500, 0.7500], [0.0000, 0.0000, 0.5000], [0.0000, 0.5000, 0.0000], [0.5000, 0.0000, 0.0000], [0.5000, 0.5000, 0.5000]]
}

***

[2]
{
  "formula": "Si2TcOs",
  "functional": "PBE",
  "state": "relaxed",
  "formation_energy_uncorrected_ev_per_atom": -0.37,
  "rho_g_cm3": 10.71,
  "polymorph_energy_mev_per_atom": 45,
  "crystal_system": "monoclinic",
  "lattice": [[8.7258, 0.0000, 0.0000], [0.0000, 2.9365, 0.0000], [-1.2788, 0.0000, 4.1667]],
  "species": ["Si", "Si", "Si", "Si", "Tc", "Tc", "Os", "Os"],
  "frac_coords": [[0.0000, 0.0000, 0.0000], [0.2480, 0.0000, 0.6591], [0.5000, 0.5000, 0.0000], [0.7480, 0.5000, 0.6591], [0.2460, 0.5000, 0.1363], [0.7460, 0.0000, 0.1363], [0.0031, 0.5000, 0.5216], [0.5031, 0.0000, 0.5216]]
}